The following is a DFT calculation (GGA-PBE) of a relaxed structure of Pu2Hg2Ru.

```
5
Lattice="-0.4962 -0.4822 -3.1940 0.7318 -3.1643 0.3640 -10.4282 -0.3394 3.3432" Properties=species:S:1:pos:R:3 pbc="T T T"
Ru 0.0000 0.0000 0.0000
Pu -8.6057 -1.8051 1.6094
Pu -1.5868 -2.1808 -1.0962
Hg -4.0322 -0.8458 0.7541
Hg -6.1604 -3.1401 -0.2409
```

Computed properties:
M_tot	10.5	μB per cell
DFT formation energy	-0.18	eV/atom
SG	I4/mmm
electronic total energy	-39.42	eV per cell
DOS(E_F)	10.76	states/eV per cell

---

The following is a DFT calculation (GGA-PBE) of a relaxed structure of Pu2HgRu.

```
4
Lattice="-3.3524 3.0052 2.2692 -4.1518 1.4566 -2.4618 -4.5029 -1.8178 1.3558" Properties=species:S:1:pos:R:3 pbc="T T T"
Pu -9.0053 1.9830 0.8724
Pu -3.0018 0.6610 0.2908
Ru -6.0036 1.3220 0.5816
Hg 0.0000 0.0000 0.0000
```

Computed properties:
M_tot	10.5	μB per cell
DFT formation energy	0.04	eV/atom
SG	Fm-3m
electronic total energy	-38.07	eV per cell
polymorph energy (0 for the lowest one)	0.230	eV per atom
DOS(E_F)	13.26	states/eV per cell

---

The following is a DFT calculation (GGA-PBE) of a relaxed structure of PuHgRu2.

```
4
Lattice="3.6669 0.0000 0.0000 0.0000 4.4238 0.0000 0.0000 0.0000 4.4238" Properties=species:S:1:pos:R:3 pbc="T T T"
Ru 0.0000 0.0000 2.2119
Ru 0.0000 2.2119 0.0000
Hg 1.8335 0.0000 0.0000
Pu 1.8335 2.2119 2.2119
```

Computed properties:
M_tot	2.7	μB per cell
DFT formation energy	0.06	eV/atom
SG	P4/mmm
electronic total energy	-32.96	eV per cell
polymorph energy (0 for the lowest one)	0.000	eV per atom
DOS(E_F)	6.49	states/eV per cell

---

The following is a DFT calculation (GGA-PBE) of a relaxed structure of Pu2HgRu.

```
4
Lattice="-1.2719 -3.5349 0.4331 2.3632 -1.3471 -4.0546 3.9443 -1.0930 2.6621" Properties=species:S:1:pos:R:3 pbc="T T T"
Pu 1.1816 -0.6735 -2.0273
Pu 1.9722 -0.5465 1.3311
Ru -0.6359 -1.7675 0.2166
Hg 2.5178 -2.9875 -0.4797
```

Computed properties:
M_tot	10.4	μB per cell
DFT formation energy	0.05	eV/atom
SG	P4/mmm
electronic total energy	-38.06	eV per cell
polymorph energy (0 for the lowest one)	0.234	eV per atom
DOS(E_F)	13.37	states/eV per cell